1.
The following is a PBE-GGA calculation of a relaxed Ga2HPb crystal, from Alexandria.

Computed properties:
Space group ... Fm-3m
Energy above the most stable polymorph in this dataset ... 233 meV per atom
Density of states at the Fermi level ... 1.79 states/eV/f.u.

a = 4.822 Å, b = 4.822 Å, c = 4.822 Å
α = 60.00°, β = 60.00°, γ = 60.00°
Atoms (fractional coordinates):
Pb  0.500  0.500  0.500
H  0.000  0.000  0.000
Ga  0.250  0.250  0.250
Ga  0.750  0.750  0.750

---

2.
The following is a PBE-GGA calculation of a relaxed Ga2HPb2 crystal, from Alexandria.

Computed properties:
Space group ... P4/mbm
Energy above the most stable polymorph in this dataset ... 0 meV per atom
Density of states at the Fermi level ... 2.02 states/eV/f.u.

a = 6.337 Å, b = 6.337 Å, c = 5.415 Å
α = 90.00°, β = 90.00°, γ = 90.00°
Atoms (fractional coordinates):
Pb  0.192  0.692  0.500
Pb  0.692  0.808  0.500
Pb  0.808  0.308  0.500
Pb  0.308  0.192  0.500
H  0.000  0.000  0.000
H  0.500  0.500  0.000
Ga  0.339  0.839  0.000
Ga  0.839  0.661  0.000
Ga  0.661  0.161  0.000
Ga  0.161  0.339  0.000

---

3.
The following is a PBE-GGA calculation of a relaxed GaHPb crystal, from Alexandria.

Computed properties:
Space group ... P-1
Energy above the most stable polymorph in this dataset ... 0 meV per atom
Density of states at the Fermi level ... 0.53 states/eV/f.u.

a = 9.012 Å, b = 4.475 Å, c = 3.398 Å
α = 91.94°, β = 99.76°, γ = 103.08°
Atoms (fractional coordinates):
Pb  0.016  0.131  0.811
Pb  0.495  0.384  0.061
H  0.216  0.706  0.430
H  0.295  0.809  0.440
Ga  0.715  0.989  0.169
Ga  0.796  0.526  0.705

---

4.
The following is a PBE-GGA calculation of a relaxed GaH2Pd7Pb2 crystal, from Alexandria.

Computed properties:
Calculated total energy ... -4.750 eV per atom
Space group ... I4/mmm
Density of states at the Fermi level ... 4.89 states/eV/f.u.

a = 4.015 Å, b = 4.015 Å, c = 11.650 Å
α = 80.08°, β = 80.08°, γ = 89.97°
Atoms (fractional coordinates):
Ga  0.000  0.000  0.000
H  0.586  0.586  0.827
H  0.414  0.414  0.173
Pd  0.500  0.500  0.000
Pd  0.324  0.324  0.352
Pd  0.676  0.676  0.648
Pd  0.914  0.414  0.172
Pd  0.414  0.914  0.172
Pd  0.586  0.086  0.828
Pd  0.086  0.586  0.828
Pb  0.804  0.804  0.392
Pb  0.196  0.196  0.608

---

5.
The following is a PBE-GGA calculation of a relaxed Ga2HPtPb crystal, from Alexandria.

Computed properties:
Calculated total energy ... -3.625 eV per atom
Space group ... P4/mmm
Density of states at the Fermi level ... 1.78 states/eV/f.u.

a = 4.767 Å, b = 5.664 Å, c = 4.767 Å
α = 90.00°, β = 90.00°, γ = 90.00°
Atoms (fractional coordinates):
Pb  0.000  0.500  0.000
H  0.500  0.500  0.500
Ga  0.000  0.000  0.500
Ga  0.500  0.000  0.000
Pt  0.000  0.000  0.000

---

6.
The following is a PBE-GGA calculation of a relaxed GaH2Pt7Pb2 crystal, from Alexandria.

Computed properties:
Calculated total energy ... -5.132 eV per atom
Space group ... C2/m
Density of states at the Fermi level ... 5.85 states/eV/f.u.

a = 3.967 Å, b = 3.967 Å, c = 12.363 Å
α = 80.70°, β = 80.70°, γ = 89.79°
Atoms (fractional coordinates):
Ga  0.000  0.000  0.000
H  0.866  0.866  0.755
H  0.134  0.134  0.245
Pt  0.500  0.500  0.000
Pt  0.351  0.351  0.339
Pt  0.649  0.649  0.661
Pt  0.914  0.429  0.161
Pt  0.429  0.914  0.161
Pt  0.571  0.086  0.839
Pt  0.086  0.571  0.839
Pb  0.790  0.790  0.413
Pb  0.210  0.210  0.587

---

7.
The following is a PBE-GGA calculation of a relaxed GaSnHPb2 crystal, from Alexandria.

Computed properties:
Space group ... P4/mmm
Energy above the most stable polymorph in this dataset ... 46 meV per atom
Density of states at the Fermi level ... 2.24 states/eV/f.u.

a = 5.058 Å, b = 5.058 Å, c = 4.507 Å
α = 90.00°, β = 90.00°, γ = 90.00°
Atoms (fractional coordinates):
Pb  0.000  0.500  0.000
Pb  0.500  0.000  0.000
H  0.000  0.000  0.000
Sn  0.500  0.500  0.500
Ga  0.000  0.000  0.500

---

8.
The following is a PBE-GGA calculation of a relaxed GaSn2HPb crystal, from Alexandria.

Computed properties:
Calculated total energy ... -3.455 eV per atom
Space group ... P4/mmm
Density of states at the Fermi level ... 1.83 states/eV/f.u.

a = 5.810 Å, b = 5.810 Å, c = 3.399 Å
α = 90.00°, β = 90.00°, γ = 90.00°
Atoms (fractional coordinates):
Pb  0.500  0.500  0.500
H  0.000  0.000  0.500
Sn  0.000  0.500  0.000
Sn  0.500  0.000  0.000
Ga  0.000  0.000  0.000

---

9.
The following is a PBE-GGA calculation of a relaxed GaSnHPb2 crystal, from Alexandria.

Computed properties:
Space group ... P4/mmm
Energy above the most stable polymorph in this dataset ... 0 meV per atom
Density of states at the Fermi level ... 1.84 states/eV/f.u.

a = 5.914 Å, b = 5.914 Å, c = 3.407 Å
α = 90.00°, β = 90.00°, γ = 90.00°
Atoms (fractional coordinates):
Pb  0.000  0.500  0.000
Pb  0.500  0.000  0.000
H  0.000  0.000  0.500
Sn  0.500  0.500  0.500
Ga  0.000  0.000  0.000

---

10.
The following is a PBE-GGA calculation of a relaxed Tl2GaHPb crystal, from Alexandria.

Computed properties:
Calculated total energy ... -2.748 eV per atom
Space group ... P4/mmm
Density of states at the Fermi level ... 1.43 states/eV/f.u.

a = 5.122 Å, b = 5.122 Å, c = 4.495 Å
α = 90.00°, β = 90.00°, γ = 90.00°
Atoms (fractional coordinates):
Pb  0.500  0.500  0.500
H  0.000  0.000  0.000
Tl  0.000  0.500  0.000
Tl  0.500  0.000  0.000
Ga  0.000  0.000  0.500

---

11.
The following is a PBE-GGA calculation of a relaxed Ga2H2Pd7 crystal, from Alexandria.

Computed properties:
Calculated total energy ... -4.741 eV per atom
Space group ... C2/m
Density of states at the Fermi level ... 5.32 states/eV/f.u.

a = 4.887 Å, b = 5.610 Å, c = 5.610 Å
α = 90.04°, β = 100.56°, γ = 100.56°
Atoms (fractional coordinates):
Ga  0.500  0.196  0.804
Ga  0.500  0.804  0.196
H  0.057  0.781  0.781
H  0.943  0.219  0.219
Pd  0.209  0.502  0.861
Pd  0.791  0.139  0.498
Pd  0.791  0.498  0.139
Pd  0.209  0.861  0.502
Pd  0.301  0.352  0.352
Pd  0.000  0.000  0.000
Pd  0.699  0.648  0.648

---

12.
The following is a PBE-GGA calculation of a relaxed GaHPd crystal, from Alexandria.

Computed properties:
Space group ... I4mm
Energy above the most stable polymorph in this dataset ... 117 meV per atom
Density of states at the Fermi level ... 0.79 states/eV/f.u.

a = 3.107 Å, b = 3.107 Å, c = 4.611 Å
α = 109.69°, β = 109.69°, γ = 90.00°
Atoms (fractional coordinates):
H  0.042  0.042  0.084
Pd  0.248  0.248  0.496
Ga  0.560  0.560  0.120

---

13.
The following is a PBE-GGA calculation of a relaxed Ga2HPd crystal, from Alexandria.

Computed properties:
Space group ... R-3m
Energy above the most stable polymorph in this dataset ... 0 meV per atom
Density of states at the Fermi level ... 1.30 states/eV/f.u.

a = 3.009 Å, b = 3.009 Å, c = 7.640 Å
α = 78.64°, β = 78.64°, γ = 60.00°
Atoms (fractional coordinates):
H  0.000  0.000  0.000
Ga  0.079  0.079  0.762
Ga  0.921  0.921  0.238
Pd  0.500  0.500  0.500

---

14.
The following is a PBE-GGA calculation of a relaxed GaH2Pd2 crystal, from Alexandria.

Computed properties:
Space group ... P4/mbm
Energy above the most stable polymorph in this dataset ... 210 meV per atom
Density of states at the Fermi level ... 1.39 states/eV/f.u.

a = 6.400 Å, b = 6.400 Å, c = 3.394 Å
α = 90.00°, β = 90.00°, γ = 90.00°
Atoms (fractional coordinates):
H  0.363  0.863  0.500
H  0.863  0.637  0.500
H  0.637  0.137  0.500
H  0.137  0.363  0.500
Ga  0.000  0.000  0.000
Ga  0.500  0.500  0.000
Pd  0.350  0.850  0.000
Pd  0.850  0.650  0.000
Pd  0.650  0.150  0.000
Pd  0.150  0.350  0.000

---

15.
The following is a PBE-GGA calculation of a relaxed GaHPd2 crystal, from Alexandria.

Computed properties:
Space group ... R-3m
Energy above the most stable polymorph in this dataset ... 261 meV per atom
Density of states at the Fermi level ... 2.18 states/eV/f.u.

a = 2.877 Å, b = 2.877 Å, c = 7.491 Å
α = 78.93°, β = 78.93°, γ = 60.00°
Atoms (fractional coordinates):
H  0.500  0.500  0.500
Ga  0.000  0.000  0.000
Pd  0.112  0.112  0.665
Pd  0.888  0.888  0.335

---

16.
The following is a PBE-GGA calculation of a relaxed GaHPd2 crystal, from Alexandria.

Computed properties:
Space group ... P4/mmm
Energy above the most stable polymorph in this dataset ... 269 meV per atom
Density of states at the Fermi level ... 0.96 states/eV/f.u.

a = 2.807 Å, b = 2.807 Å, c = 6.247 Å
α = 90.00°, β = 90.00°, γ = 90.00°
Atoms (fractional coordinates):
H  0.500  0.500  0.000
Ga  0.500  0.500  0.500
Pd  0.000  0.000  0.781
Pd  0.000  0.000  0.219

---

17.
The following is a PBE-GGA calculation of a relaxed GaHPd4 crystal, from Alexandria.

Computed properties:
Space group ... C2/c
Energy above the most stable polymorph in this dataset ... 0 meV per atom
Density of states at the Fermi level ... 2.75 states/eV/f.u.

a = 4.911 Å, b = 5.860 Å, c = 5.860 Å
α = 104.42°, β = 98.98°, γ = 98.98°
Atoms (fractional coordinates):
Ga  0.750  0.628  0.372
Ga  0.250  0.372  0.628
H  0.250  0.005  0.995
H  0.750  0.995  0.005
Pd  0.881  0.578  0.803
Pd  0.040  0.960  0.243
Pd  0.619  0.197  0.422
Pd  0.460  0.757  0.040
Pd  0.540  0.243  0.960
Pd  0.381  0.803  0.578
Pd  0.960  0.040  0.757
Pd  0.119  0.422  0.197

---

18.
The following is a PBE-GGA calculation of a relaxed Ga2HPd crystal, from Alexandria.

Computed properties:
Space group ... I-42d
Energy above the most stable polymorph in this dataset ... 236 meV per atom
Density of states at the Fermi level ... 1.37 states/eV/f.u.

a = 4.738 Å, b = 4.738 Å, c = 6.602 Å
α = 68.97°, β = 68.97°, γ = 90.00°
Atoms (fractional coordinates):
H  0.500  0.500  0.000
H  0.250  0.750  0.500
Ga  0.527  0.125  0.250
Ga  0.223  0.625  0.250
Ga  0.375  0.473  0.750
Ga  0.875  0.777  0.750
Pd  0.000  0.000  0.000
Pd  0.750  0.250  0.500

---

19.
The following is a PBE-GGA calculation of a relaxed GaH2Pd2 crystal, from Alexandria.

Computed properties:
Space group ... P4/mbm
Energy above the most stable polymorph in this dataset ... 75 meV per atom
Density of states at the Fermi level ... 0.60 states/eV/f.u.

a = 5.608 Å, b = 5.608 Å, c = 3.478 Å
α = 90.00°, β = 90.00°, γ = 90.00°
Atoms (fractional coordinates):
H  0.357  0.857  0.000
H  0.857  0.643  0.000
H  0.643  0.143  0.000
H  0.143  0.357  0.000
Ga  0.000  0.000  0.000
Ga  0.500  0.500  0.000
Pd  0.321  0.821  0.500
Pd  0.821  0.679  0.500
Pd  0.679  0.179  0.500
Pd  0.179  0.321  0.500

---

20.
The following is a PBE-GGA calculation of a relaxed GaH3Pd crystal, from Alexandria.

Computed properties:
Space group ... Pm-3m
Energy above the most stable polymorph in this dataset ... 405 meV per atom
Density of states at the Fermi level ... 1.03 states/eV/f.u.

a = 3.593 Å, b = 3.593 Å, c = 3.593 Å
α = 90.00°, β = 90.00°, γ = 90.00°
Atoms (fractional coordinates):
H  0.000  0.500  0.000
H  0.000  0.000  0.500
H  0.500  0.000  0.000
Ga  0.000  0.000  0.000
Pd  0.500  0.500  0.500

---

21.
The following is a PBE-GGA calculation of a relaxed Ga2HPd8 crystal, from Alexandria.

Computed properties:
Calculated total energy ... -5.009 eV per atom
Space group ... P1
Density of states at the Fermi level ... 5.00 states/eV/f.u.

a = 4.139 Å, b = 5.535 Å, c = 7.435 Å
α = 108.73°, β = 106.04°, γ = 89.99°
Atoms (fractional coordinates):
Ga  0.315  0.331  0.622
Ga  0.695  0.638  0.378
H  0.949  0.985  0.001
Pd  0.910  0.153  0.810
Pd  0.127  0.343  0.241
Pd  0.296  0.835  0.582
Pd  0.502  0.985  0.000
Pd  0.714  0.134  0.418
Pd  0.884  0.627  0.758
Pd  0.100  0.816  0.190
Pd  0.504  0.485  0.000

---

22.
The following is a PBE-GGA calculation of a relaxed Ga2HPd crystal, from Alexandria.

Computed properties:
Space group ... Fm-3m
Energy above the most stable polymorph in this dataset ... 274 meV per atom
Density of states at the Fermi level ... 1.39 states/eV/f.u.

a = 4.271 Å, b = 4.271 Å, c = 4.271 Å
α = 60.00°, β = 60.00°, γ = 60.00°
Atoms (fractional coordinates):
H  0.000  0.000  0.000
Ga  0.250  0.250  0.250
Ga  0.750  0.750  0.750
Pd  0.500  0.500  0.500

---

23.
The following is a PBE-GGA calculation of a relaxed GaHPd5 crystal, from Alexandria.

Computed properties:
Calculated total energy ... -4.694 eV per atom
Space group ... Imma
Density of states at the Fermi level ... 3.99 states/eV/f.u.

a = 6.514 Å, b = 6.514 Å, c = 7.401 Å
α = 55.36°, β = 55.36°, γ = 70.96°
Atoms (fractional coordinates):
Ga  0.573  0.427  0.250
Ga  0.427  0.573  0.750
H  0.000  0.000  0.000
H  0.000  0.000  0.500
Pd  0.735  0.735  0.266
Pd  0.251  0.750  0.430
Pd  0.735  0.735  0.766
Pd  0.922  0.078  0.250
Pd  0.250  0.749  0.070
Pd  0.750  0.251  0.930
Pd  0.078  0.922  0.750
Pd  0.265  0.265  0.234
Pd  0.749  0.250  0.570
Pd  0.265  0.265  0.734

---

24.
The following is a PBE-GGA calculation of a relaxed GaH2Pd8 crystal, from Alexandria.

Computed properties:
Calculated total energy ... -4.751 eV per atom
Space group ... C2/m
Density of states at the Fermi level ... 9.13 states/eV/f.u.

a = 4.833 Å, b = 6.619 Å, c = 6.619 Å
α = 48.44°, β = 73.52°, γ = 73.52°
Atoms (fractional coordinates):
Ga  0.000  0.000  0.000
H  0.704  0.791  0.791
H  0.296  0.209  0.209
Pd  0.270  0.361  0.858
Pd  0.730  0.142  0.639
Pd  0.321  0.802  0.802
Pd  0.679  0.198  0.198
Pd  0.270  0.858  0.361
Pd  0.730  0.639  0.142
Pd  0.780  0.602  0.602
Pd  0.220  0.398  0.398

---

25.
The following is a PBE-GGA calculation of a relaxed Ga2H2Pd5 crystal, from Alexandria.

Computed properties:
Calculated total energy ... -4.714 eV per atom
Space group ... P4/mmm
Density of states at the Fermi level ... 0.83 states/eV/f.u.

a = 5.641 Å, b = 5.642 Å, c = 8.320 Å
α = 109.86°, β = 109.82°, γ = 90.00°
Atoms (fractional coordinates):
Ga  0.000  0.037  0.000
Ga  0.500  0.537  0.000
Ga  0.250  0.287  0.500
Ga  0.750  0.787  0.500
H  0.116  0.653  0.232
H  0.884  0.421  0.768
H  0.616  0.153  0.232
H  0.384  0.921  0.768
Pd  0.138  0.675  0.776
Pd  0.862  0.899  0.224
Pd  0.138  0.175  0.776
Pd  0.862  0.399  0.224
Pd  0.362  0.900  0.224
Pd  0.638  0.675  0.776
Pd  0.362  0.400  0.224
Pd  0.638  0.175  0.776
Pd  0.249  0.787  0.500
Pd  0.751  0.287  0.500